{"formula": "BaBr", "functional": "PBE", "state": "relaxed", "lattice_angstrom": [[-6.801, 6.801, 2.347], [6.801, -6.801, 2.347], [6.801, 6.801, -2.347]], "species": ["Ba", "Ba", "Ba", "Ba", "Br", "Br", "Br", "Br"], "fractional_positions": [[0.097, 0.673, 0.770], [0.327, 0.097, 0.425], [0.673, 0.903, 0.575], [0.903, 0.327, 0.230], [0.121, 0.228, 0.348], [0.228, 0.879, 0.107], [0.772, 0.121, 0.893], [0.879, 0.772, 0.652]], "total_energy_ev_per_atom": -3.2962, "magmom_total_mub_per_fu": 0.55}